Record 1
12
Lattice="-7.773 1.011 -6.098 -8.772 -2.226 -4.090 -2.511 3.977 5.163" Properties=species:S:1:pos:R:3 comment="HfCu2TeSe2 PBE optimized geometry" crystal_system=monoclinic mass_density_g_cm3=7.39 de_polymorph_mev_per_atom=29 pbc="T T T"
Cu -1.140 0.556 0.329
Cu -12.890 0.858 -5.028
Cu -6.165 1.904 0.003
Cu -17.916 2.206 -5.354
Hf -10.860 -0.596 -6.363
Hf -8.195 3.358 1.338
Se -15.503 -0.477 -8.479
Se -4.614 0.548 -1.412
Se -14.442 2.214 -3.613
Se -3.552 3.239 3.454
Te -10.559 0.799 -3.964
Te -8.496 1.963 -1.061

Record 2
2
Lattice="3.218 0.000 0.000 0.000 3.218 0.000 0.000 0.000 3.218" Properties=species:S:1:pos:R:3 comment="ScIr PBE optimized geometry" crystal_system=cubic mass_density_g_cm3=11.81 formation_enthalpy_0k_mev_per_atom=-1030 pbc="T T T"
Ir 0.000 0.000 0.000
Sc 1.609 1.609 1.609